A relaxed KPaMn2O8 crystal. Source: Alexandria via LeMat-Bulk, functional PBE with a Hubbard U.

Structure (extended XYZ):
```
12
Lattice="6.109 -0.065 0.000 -2.768 5.446 0.000 -1.671 -2.691 5.224" Properties=species:S:1:pos:R:3 pbc="T T T"
O 4.427 0.246 1.593
O 2.696 1.322 3.631
O 0.299 2.116 0.862
O 3.042 3.265 0.862
O 3.413 -1.387 3.631
O -0.093 1.484 4.362
O 0.093 -1.484 4.362
O 1.682 -0.311 1.593
K -1.384 2.723 2.612
Mn 3.054 -0.033 2.612
Mn 1.671 2.691 0.000
Pa 0.000 0.000 0.000
```

SG = I-4m2, No. 119
Crystal system = tetragonal
Uncorrected energy = -85.6 eV per cell
Volume = 173 Å³/cell